1.
# Nd3Sm4Y2

A relaxed Nd3Sm4Y2 crystal (GGA-PBE, the Alexandria database).

Properties
formation energy from the elements	13	meV/atom
relative energy among the computed polymorphs	0	meV/atom
calculated volume	610.7	Å³/cell
crystal system	monoclinic
theoretical density	6.59	g cm⁻³

Structure (CIF):
```
data_Nd3Sm4Y2
_cell_length_a 12.0568
_cell_length_b 3.6357
_cell_length_c 14.9645
_cell_angle_alpha 90.00
_cell_angle_beta 111.41
_cell_angle_gamma 90.00
_symmetry_space_group_name_H-M 'C 1 2/m 1'
_symmetry_Int_Tables_number 12
loop_
_symmetry_equiv_pos_as_xyz
'x,y,z'
'-x,-y,-z'
'-x,y,-z'
'x,-y,z'
'x+1/2,y+1/2,z'
'-x+1/2,-y+1/2,-z'
'-x+1/2,y+1/2,-z'
'x+1/2,-y+1/2,z'
loop_
_atom_site_label
_atom_site_type_symbol
_atom_site_fract_x
_atom_site_fract_y
_atom_site_fract_z
Nd1 Nd 0.0000 0.0000 0.0000
Nd2 Nd 0.1105 0.0000 0.4444
Sm1 Sm 0.1681 0.5000 0.6686
Sm2 Sm 0.2221 0.0000 0.8892
Y1 Y 0.0549 0.5000 0.2219
```


2.
# ScB3S

A relaxed ScB3S crystal (GGA-PBE, the Alexandria database).

Properties
relative energy among the computed polymorphs	1165	meV/atom
calculated volume	93.4	Å³/cell
crystal system	cubic
raw formation energy	11.511	eV per formula unit
theoretical density	1.95	g cm⁻³

Structure (CIF):
```
data_ScB3S
_cell_length_a 4.5379
_cell_length_b 4.5379
_cell_length_c 4.5379
_cell_angle_alpha 90.00
_cell_angle_beta 90.00
_cell_angle_gamma 90.00
_symmetry_space_group_name_H-M 'P m -3 m'
_symmetry_Int_Tables_number 221
_symmetry_space_group_name_Hall '-P 4 2 3'
loop_
_atom_site_label
_atom_site_type_symbol
_atom_site_fract_x
_atom_site_fract_y
_atom_site_fract_z
Sc1 Sc 0.0000 0.0000 0.0000
B1 B 0.0000 0.0000 0.5000
S1 S 0.5000 0.5000 0.5000
```


3.
# Li2YTm2Pb2

A relaxed Li2YTm2Pb2 crystal (GGA-PBE, the Alexandria database).

Properties
formation energy from the elements	-294	meV/atom
calculated volume	531.5	Å³/cell
crystal system	trigonal
theoretical density	8.01	g cm⁻³

Structure (CIF):
```
data_Li2YTm2Pb2
_cell_length_a 4.8291
_cell_length_b 4.8291
_cell_length_c 26.3146
_cell_angle_alpha 90.00
_cell_angle_beta 90.00
_cell_angle_gamma 120.00
_symmetry_space_group_name_H-M 'R -3 m'
_symmetry_Int_Tables_number 166
_symmetry_space_group_name_Hall '-R 3 2"'
loop_
_atom_site_label
_atom_site_type_symbol
_atom_site_fract_x
_atom_site_fract_y
_atom_site_fract_z
Li1 Li 0.0000 0.0000 0.0920
Y1 Y 0.0000 0.0000 0.5000
Tm1 Tm 0.0000 0.0000 0.3700
Pb1 Pb 0.0000 0.0000 0.2370
```


4.
# MgP2Pb

A relaxed MgP2Pb crystal (GGA-PBE, the Alexandria database).

Properties
formation energy from the elements	229	meV/atom
calculated volume	333.5	Å³/cell
crystal system	cubic
theoretical density	5.84	g cm⁻³

Structure (CIF):
```
data_MgP2Pb
_cell_length_a 6.9350
_cell_length_b 6.9350
_cell_length_c 6.9350
_cell_angle_alpha 90.00
_cell_angle_beta 90.00
_cell_angle_gamma 90.00
_symmetry_space_group_name_H-M 'F m -3 m'
_symmetry_Int_Tables_number 225
_symmetry_space_group_name_Hall '-F 4 2 3'
loop_
_atom_site_label
_atom_site_type_symbol
_atom_site_fract_x
_atom_site_fract_y
_atom_site_fract_z
Mg1 Mg 0.0000 0.0000 0.0000
P1 P 0.2500 0.2500 0.2500
Pb1 Pb 0.0000 0.0000 0.5000
```


Which of these has the lowest calculated volume?
ScB3S